# 1
The following is a DFT calculation (PBE-GGA) of a relaxed structure of Mo4C2N.

Lattice parameters (Å, degrees): 4.239 4.239 9.587 90.00 90.00 90.00
Space group I4/mmm (No. 139)
Asymmetric unit:
Mo 0.000 0.000 0.226
Mo 0.000 0.500 0.000
C 0.000 0.000 0.427
N 0.000 0.000 0.000

Summary:
- magnetization (μB per cell) = 0.0
- D(E_F) (states/eV/f.u.) = 4.4
- raw formation energy (eV per atom) = 0.4281



# 2
The following is a DFT calculation (PBE-GGA) of a relaxed structure of BaSiSn3.

Lattice parameters (Å, degrees): 6.140 6.140 6.140 90.00 90.00 90.00
Space group Pm-3m (No. 221)
Asymmetric unit:
Ba 0.000 0.000 0.000
Si 0.500 0.500 0.500
Sn 0.000 0.000 0.500

Summary:
- magnetization (μB per cell) = 0.0
- D(E_F) (states/eV/f.u.) = 10.9
- raw formation energy (eV per atom) = 1.4264



# 3
The following is a DFT calculation (PBE-GGA) of a relaxed structure of LiGa2Au2.

Lattice parameters (Å, degrees): 3.950 3.950 12.566 90.00 90.00 90.00
Space group I4/mmm (No. 139)
Asymmetric unit:
Li 0.000 0.000 0.000
Ga 0.000 0.500 0.250
Au 0.000 0.000 0.393

Summary:
- magnetization (μB per cell) = 0.0
- energy of formation (eV/atom) = -0.26
- D(E_F) (states/eV/f.u.) = 1.8



# 4
The following is a DFT calculation (PBE-GGA) of a relaxed structure of CuHgSe2.

Lattice parameters (Å, degrees): 4.241 6.259 8.738 90.00 90.00 90.00
Space group Imm2 (No. 44)
Asymmetric unit:
Cu 0.000 0.000 0.000
Hg 0.000 0.500 0.289
Se 0.000 0.000 0.611
Se 0.000 0.500 0.607

Summary:
- magnetization (μB per cell) = 0.0
- D(E_F) (states/eV/f.u.) = 0.7
- raw formation energy (eV per atom) = 0.1095



# 5
The following is a DFT calculation (PBE-GGA) of a relaxed structure of InN3F6.

Lattice parameters (Å, degrees): 7.936 7.936 7.936 90.00 90.00 90.00
Space group Fm-3m (No. 225)
Asymmetric unit:
In 0.000 0.000 0.000
N 0.000 0.000 0.500
N 0.250 0.250 0.250
F 0.000 0.000 0.269

Summary:
- magnetization (μB per cell) = 23.6
- D(E_F) (states/eV/f.u.) = 7.7
- raw formation energy (eV per atom) = 0.3884



# 6
The following is a DFT calculation (PBE-GGA) of a relaxed structure of TmZr3Sc.

Lattice parameters (Å, degrees): 6.2289 6.2289 24.0353 90.00 90.00 120.00
Space group R-3m (No. 166, hexagonal axes)
Asymmetric unit:
Tm 0.0000 0.0000 0.1793
Zr 0.0206 0.5103 0.7272
Sc 0.0000 0.0000 0.3021

Summary:
- magnetization (μB per cell) = 0.0
- energy of formation (eV/atom) = 0.30
- D(E_F) (states/eV/f.u.) = 7.2



# 7
The following is a DFT calculation (PBE-GGA) of a relaxed structure of Lu2SiPb.

Lattice parameters (Å, degrees): 3.363 3.363 8.392 90.00 90.00 90.00
Space group P4/mmm (No. 123)
Asymmetric unit:
Lu 0.000 0.000 0.211
Si 0.500 0.500 0.000
Pb 0.500 0.500 0.500

Summary:
- magnetization (μB per cell) = 0.0
- D(E_F) (states/eV/f.u.) = 2.5
- raw formation energy (eV per atom) = -0.4145



# 8
The following is a DFT calculation (PBE-GGA) of a relaxed structure of ZrFe2P.

Lattice parameters (Å, degrees): 2.847 2.847 6.433 90.00 90.00 90.00
Space group P4/mmm (No. 123)
Asymmetric unit:
Zr 0.000 0.000 0.000
Fe 0.500 0.500 0.307
P 0.000 0.000 0.500

Summary:
- magnetization (μB per cell) = 0.0
- energy of formation (eV/atom) = -0.22
- D(E_F) (states/eV/f.u.) = 4.6



# 9
The following is a DFT calculation (PBE-GGA) of a relaxed structure of LiMg2C2O6.

Lattice parameters (Å, degrees): 4.8403 4.8403 7.0421 90.00 90.00 120.00
Space group P-3 (No. 147)
Asymmetric unit:
Li 0.0000 0.0000 0.0000
Mg 0.3333 0.6667 0.2846
C 0.3333 0.6667 0.8156
O 0.0762 0.6869 0.8131

Summary:
- magnetization (μB per cell) = 0.4
- D(E_F) (states/eV/f.u.) = 0.8
- raw formation energy (eV per atom) = -1.7088



# 10
The following is a DFT calculation (PBE-GGA) of a relaxed structure of B2PH2.

Lattice parameters (Å, degrees): 2.829 2.829 8.236 90.00 90.00 90.00
Space group I4/mmm (No. 139)
Asymmetric unit:
B 0.000 0.000 0.105
P 0.000 0.000 0.500
H 0.000 0.500 0.250

Summary:
- magnetization (μB per cell) = 0.0
- D(E_F) (states/eV/f.u.) = 1.9
- uncorrected energy (eV per cell) = -39.13



# 11
The following is a DFT calculation (PBE-GGA) of a relaxed structure of BaSnSb2Br.

Lattice parameters (Å, degrees): 5.665 5.665 5.944 90.00 90.00 90.00
Space group P4/mmm (No. 123)
Asymmetric unit:
Ba 0.000 0.000 0.000
Sn 0.500 0.500 0.000
Sb 0.000 0.500 0.500
Br 0.000 0.000 0.500

Summary:
- magnetization (μB per cell) = 0.0
- D(E_F) (states/eV/f.u.) = 3.4
- raw formation energy (eV per atom) = 0.0949



# 12
The following is a DFT calculation (PBE-GGA) of a relaxed structure of Er5Tm2Al4.

Lattice parameters (Å, degrees): 3.368 8.057 28.904 90.00 90.00 90.00
Space group Immm (No. 71)
Asymmetric unit:
Er 0.000 0.000 0.000
Er 0.000 0.297 0.299
Tm 0.000 0.500 0.406
Al 0.000 0.177 0.500
Al 0.000 0.500 0.208

Summary:
- magnetization (μB per cell) = 0.0
- energy of formation (eV/atom) = 0.48
- D(E_F) (states/eV/f.u.) = 13.1